Record 1
Compound: Si3Os
Source: Alexandria via LeMat-Bulk
Functional: meta-GGA SCAN
Structure: PBEsol geometry

Unit cell a=4.218 b=4.218 c=4.218 alpha=119.77 beta=119.77 gamma=90.40
Positions (direct):
Si1 0.000 0.000 0.000
Si2 0.250 0.750 0.500
Si3 0.750 0.250 0.500
Os1 0.500 0.500 0.000

Summary:
**ΔE_f (raw)**: 26 kJ per mole of atoms

=====

Record 2
Compound: SmSi3Os
Source: Alexandria via LeMat-Bulk
Functional: meta-GGA SCAN
Structure: PBEsol geometry

Unit cell a=5.758 b=5.758 c=5.758 alpha=137.44 beta=137.44 gamma=61.76
Positions (direct):
Sm1 0.000 0.000 0.000
Si1 0.236 0.736 0.500
Si2 0.579 0.579 0.000
Si3 0.736 0.236 0.500
Os1 0.344 0.344 0.000

Summary:
**ΔE_f (raw)**: -64 kJ per mole of atoms

=====

Record 3
Compound: SrSiOs
Source: Alexandria via LeMat-Bulk
Functional: meta-GGA SCAN
Structure: PBEsol geometry

Unit cell a=6.082 b=6.082 c=6.082 alpha=149.68 beta=149.68 gamma=43.41
Positions (direct):
Sr1 0.000 0.000 0.000
Si1 0.289 0.289 0.000
Os1 0.704 0.704 0.000

Summary:
**ΔE_f (raw)**: -14 kJ per mole of atoms

=====

Record 4
Compound: Sr2SiOs
Source: Alexandria via LeMat-Bulk
Functional: meta-GGA SCAN
Structure: PBEsol geometry

Unit cell a=5.440 b=5.440 c=5.440 alpha=131.34 beta=131.34 gamma=71.27
Positions (direct):
Sr1 0.250 0.750 0.500
Sr2 0.750 0.250 0.500
Si1 0.000 0.000 0.000
Os1 0.500 0.500 0.000

Summary:
**ΔE_f (raw)**: 57 kJ per mole of atoms

=====

- Look up the ΔE_f (raw) of the third one.
  -14 kJ per mole of atoms